A geometry-optimized Sc3Al3Ag2 structure, computed with PBE.

- ΔE_f (kcal/mol of atoms) = -6.95
- M_tot (μB per cell) = 0.00
- space-group type = P-62m
- energy (eV for the cell shown) = -38.3

Cell lengths 7.232, 7.232, 3.480 Å; angles 90.00, 90.00, 120.00 degrees
Atoms (fractional coordinates):
Sc  0.000  0.606  0.000
Sc  0.394  0.394  0.000
Sc  0.606  0.000  0.000
Al  0.000  0.233  0.500
Al  0.233  0.000  0.500
Al  0.767  0.767  0.500
Ag  0.333  0.667  0.500
Ag  0.667  0.333  0.500